TaTi2Cu | GGA-PBE | relaxed

Output
Its electronic total energy is -31.26 eV per cell. As for the energy above the most stable polymorph in this dataset: 0.131 eV/atom. The density of states at the Fermi level is 4.7 states/eV/f.u. The spin magnetization comes out at 0.00 μB/cell. As for the space-group type: R3m (160). The value obtained for the formation energy is 0.12 eV/atom.

```
TaTi2Cu
1.0
-2.086 -1.819 0.880
0.704 -2.466 1.363
-0.846 2.883 8.744
Ti Cu Ta
2 1 1
Cartesian
-0.755 1.864 6.855
-0.552 -0.408 2.641
-1.767 0.022 10.232
-1.114 -0.698 5.498
```